# La2NdPbC (PBE, optimized geometry)
data_La2NdPbC
_chemical_formula_sum 'La2 Nd1 Pb1 C1'
_space_group_name_H-M_alt 'P 1'
_space_group_IT_number 1
_space_group_name_Hall 'P 1'
_cell_length_a 5.225
_cell_length_b 5.225
_cell_length_c 5.181
_cell_angle_alpha 90.00
_cell_angle_beta 90.00
_cell_angle_gamma 90.00
loop_
_atom_site_label
_atom_site_type_symbol
_atom_site_fract_x
_atom_site_fract_y
_atom_site_fract_z
La1 La 0.000 0.500 0.000
La2 La 0.500 0.000 0.000
Nd1 Nd 0.000 0.000 0.500
Pb1 Pb 0.500 0.500 0.500
C1 C 0.000 0.000 0.000
# Total magnetic moment (μB per formula unit): 0.0
# E_tot (eV for the cell shown): -29.6
# Crystal system: tetragonal
# Energy of formation from the pure elements (meV/atom): -416